# 1
The following is a PBE calculation of crystalline Er12CdCo5 at its relaxed geometry, from Alexandria via LeMat-Bulk.

## Properties
Space-group type: Immm

abc: 8.1885 8.1885 8.1885
angles: 106.97 110.71 110.77
Closest atoms and distances in Å follow each position.
Atoms (fractional coordinates):
Co: 0.0000 0.0000 0.0000  4 Er 2.73
Co: 0.3763 0.3763 0.0000  1 Co 2.30
Co: 0.5000 0.8867 0.3867  1 Co 2.21
Co: 0.6237 0.6237 0.0000  1 Co 2.30
Co: 0.5000 0.1133 0.6133  1 Co 2.21
Er: 0.5263 0.8154 0.7109  2 Co 2.83
Er: 0.8074 0.0188 0.2115  2 Co 2.68-2.73
Er: 0.1045 0.8154 0.2891  2 Co 2.83
Er: 0.3047 0.3148 0.6196  3 Co 2.68-2.81
Er: 0.4737 0.1846 0.2891  2 Co 2.83
Er: 0.6953 0.3148 0.0101  3 Co 2.68-2.81
Er: 0.1926 0.9812 0.7885  2 Co 2.68-2.73
Er: 0.6953 0.6852 0.3804  3 Co 2.68-2.81
Er: 0.8074 0.5959 0.7885  2 Co 2.68-2.73
Er: 0.1926 0.4041 0.2115  2 Co 2.68-2.73
Er: 0.3047 0.6852 0.9899  3 Co 2.68-2.81
Er: 0.8955 0.1846 0.7109  2 Co 2.83
Cd: 0.0000 0.5000 0.5000  12 Er 3.33-3.53


# 2
The following is a PBE calculation of crystalline Er4CdCo at its relaxed geometry, from Alexandria via LeMat-Bulk.

## Properties
Polymorph energy (0 for the lowest one), eV/atom: 0.000
Space-group type: F-43m

abc: 9.4044 9.4044 9.4044
angles: 60.00 60.00 60.00
Closest atoms and distances in Å follow each position.
Atoms (fractional coordinates):
Co: 0.6090 0.6090 0.1731  6 Er 2.73-2.74
Co: 0.6090 0.6090 0.6090  6 Er 2.73-2.74
Co: 0.1731 0.6090 0.6090  6 Er 2.73-2.74
Co: 0.6090 0.1731 0.6090  6 Er 2.73-2.74
Cd: 0.1693 0.4921 0.1693  3 Cd 3.04, 3 Er 3.19
Cd: 0.4921 0.1693 0.1693  3 Cd 3.04, 3 Er 3.19
Cd: 0.1693 0.1693 0.4921  3 Cd 3.04, 3 Er 3.19
Cd: 0.1693 0.1693 0.1693  3 Cd 3.04, 3 Er 3.19
Er: 0.7894 0.4035 0.4035  3 Co 2.74
Er: 0.8119 0.1881 0.1881  2 Cd 3.19, 2 Co 3.39, 10 Er 3.39-3.54
Er: 0.4035 0.4035 0.7894  3 Co 2.74
Er: 0.9382 0.9382 0.5618  2 Co 2.73
Er: 0.5618 0.5618 0.9382  2 Co 2.73
Er: 0.4035 0.4035 0.4035  3 Co 2.74
Er: 0.5618 0.9382 0.9382  2 Co 2.73
Er: 0.9382 0.5618 0.5618  2 Co 2.73
Er: 0.1881 0.1881 0.8119  2 Cd 3.19, 2 Co 3.39, 10 Er 3.39-3.54
Er: 0.8119 0.8119 0.1881  2 Cd 3.19, 2 Co 3.39, 10 Er 3.39-3.54
Er: 0.5618 0.9382 0.5618  2 Co 2.73
Er: 0.1881 0.8119 0.1881  2 Cd 3.19, 2 Co 3.39, 10 Er 3.39-3.54
Er: 0.9382 0.5618 0.9382  2 Co 2.73
Er: 0.4035 0.7894 0.4035  3 Co 2.74
Er: 0.1881 0.8119 0.8119  2 Cd 3.19, 2 Co 3.39, 10 Er 3.39-3.54
Er: 0.8119 0.1881 0.8119  2 Cd 3.19, 2 Co 3.39, 10 Er 3.39-3.54


# 3
The following is a PBE calculation of crystalline ErCdCo at its relaxed geometry, from Alexandria via LeMat-Bulk.

## Properties
Space-group type: Cm

abc: 3.8519 3.8518 10.7024
angles: 79.58 79.58 60.02
Closest atoms and distances in Å follow each position.
Atoms (fractional coordinates):
Co: 0.8536 0.4742 0.5204  3 Co 2.22
Co: 0.1872 0.8078 0.5199  3 Co 2.22
Cd: 0.3204 0.9416 0.1184  3 Cd 3.03, 3 Er 3.28
Cd: 0.0522 0.6735 0.9222  3 Cd 3.03, 3 Er 3.28
Er: 0.5777 0.1984 0.3484  6 Co 2.86
Er: 0.4627 0.0835 0.6919  6 Co 2.86


# 4
The following is a PBE calculation of crystalline Er4Cd2Co at its relaxed geometry, from Alexandria via LeMat-Bulk.

## Properties
Space-group type: P2/m

abc: 3.5658 8.8355 9.0081
angles: 138.38 90.00 90.00
Closest atoms and distances in Å follow each position.
Atoms (fractional coordinates):
Cd: 0.5000 0.8430 0.3463  1 Cd 2.87
Cd: 0.5000 0.2998 0.7965  1 Cd 2.87
Er: 0.5000 0.8932 0.7602  2 Co 2.63
Er: 0.5000 0.2496 0.3827  2 Co 2.63
Er: 0.0000 0.7025 0.9503  1 Co 2.55
Er: 0.0000 0.4403 0.1927  1 Co 2.55
Co: 0.0000 0.0714 0.0715  6 Er 2.55-2.63


# 5
The following is a PBE calculation of crystalline Er6Cd3Co at its relaxed geometry, from Alexandria via LeMat-Bulk.

## Properties
Polymorph energy (0 for the lowest one), eV/atom: 0.035
Space-group type: Pnnm

abc: 5.1157 9.0215 11.1018
angles: 90.00 90.01 90.00
Closest atoms and distances in Å follow each position.
Atoms (fractional coordinates):
Er: 0.9997 0.6964 0.9125  1 Co 2.91
Er: 0.0003 0.3036 0.0875  1 Co 2.91
Er: 0.0004 0.3460 0.4242  2 Co 3.03, 1 Cd 3.23, 3 Er 3.25-3.32
Er: 0.4996 0.8460 0.0758  2 Co 3.03, 1 Cd 3.23, 3 Er 3.25-3.32
Er: 0.9996 0.6540 0.5758  2 Co 3.03, 1 Cd 3.23, 3 Er 3.25-3.32
Er: 0.4996 0.5181 0.7307  1 Co 2.57
Er: 0.5004 0.1540 0.9242  2 Co 3.03, 1 Cd 3.23, 3 Er 3.25-3.32
Er: 0.5004 0.4819 0.2693  1 Co 2.57
Er: 0.0004 0.0181 0.7693  1 Co 2.57
Er: 0.5003 0.1964 0.5875  1 Co 2.91
Er: 0.9996 0.9819 0.2307  1 Co 2.57
Er: 0.4997 0.8036 0.4125  1 Co 2.91
Cd: 0.5000 0.5000 0.0000  8 Er 2.99-3.26
Cd: 0.0004 0.6491 0.2189  3 Er 3.01-3.02
Cd: 0.0000 0.0000 0.5000  8 Er 2.99-3.26
Cd: 0.9996 0.3509 0.7811  3 Er 3.01-3.02
Cd: 0.4996 0.1491 0.2811  3 Er 3.01-3.02
Cd: 0.5004 0.8509 0.7189  3 Er 3.01-3.02
Co: 0.5000 0.5000 0.5000  2 Er 2.57
Co: 0.0000 0.0000 0.0000  2 Er 2.57


# 6
The following is a PBE calculation of crystalline Er2CdCo at its relaxed geometry, from Alexandria via LeMat-Bulk.

## Properties
Polymorph energy (0 for the lowest one), eV/atom: 0.324
Space-group type: R-3m

abc: 3.7194 3.7194 9.7596
angles: 79.02 79.02 60.00
Closest atoms and distances in Å follow each position.
Atoms (fractional coordinates):
Er: 0.8846 0.8846 0.3463  3 Co 2.60
Er: 0.1154 0.1154 0.6537  3 Co 2.60
Co: 0.5000 0.5000 0.5000  6 Er 2.60
Cd: 0.0000 0.0000 0.0000  2 Er 3.30


# 7
The following is a PBE calculation of crystalline Er2CdCo at its relaxed geometry, from Alexandria via LeMat-Bulk.

## Properties
Polymorph energy (0 for the lowest one), eV/atom: 0.121
Space-group type: Fm-3m

abc: 4.9846 4.9846 4.9846
angles: 60.00 60.00 60.00
Closest atoms and distances in Å follow each position.
Atoms (fractional coordinates):
Er: 0.7500 0.7500 0.7500  4 Cd 3.05, 4 Co 3.05
Er: 0.2500 0.2500 0.2500  4 Cd 3.05, 4 Co 3.05
Co: 0.0000 0.0000 0.0000  8 Er 3.05
Cd: 0.5000 0.5000 0.5000  8 Er 3.05


# 8
The following is a PBE calculation of crystalline Er3CdCo at its relaxed geometry, from Alexandria via LeMat-Bulk.

## Properties
Polymorph energy (0 for the lowest one), eV/atom: 0.000
Space-group type: P-1

abc: 5.4408 6.3586 8.6743
angles: 114.25 83.25 115.64
Closest atoms and distances in Å follow each position.
Atoms (fractional coordinates):
Co: 0.0449 0.3049 0.9866  6 Er 2.64-2.88, 1 Co 2.65
Co: 0.9551 0.6951 0.0134  6 Er 2.64-2.88, 1 Co 2.65
Cd: 0.4016 0.7668 0.5219  1 Cd 2.86
Cd: 0.5984 0.2332 0.4781  1 Cd 2.86
Er: 0.8699 0.6258 0.2989  1 Co 2.64
Er: 0.5284 0.2167 0.8935  3 Co 2.75-2.88
Er: 0.4716 0.7833 0.1065  3 Co 2.75-2.88
Er: 0.1342 0.1928 0.2316  2 Co 2.65-2.72
Er: 0.8658 0.8072 0.7684  2 Co 2.65-2.72
Er: 0.1301 0.3742 0.7011  1 Co 2.64


# 9
The following is a PBE calculation of crystalline Er6Cd2Co at its relaxed geometry, from Alexandria via LeMat-Bulk.

## Properties
Polymorph energy (0 for the lowest one), eV/atom: 0.035
Space-group type: P2_1/c

abc: 7.1555 7.0705 9.6938
angles: 90.00 90.74 90.00
Closest atoms and distances in Å follow each position.
Atoms (fractional coordinates):
Er: 0.7485 0.2505 0.5391  1 Co 2.56
Er: 0.4299 0.5001 0.7461  1 Co 2.51
Er: 0.2485 0.2495 0.0391  1 Co 2.56
Er: 0.2503 0.7521 0.0392  1 Co 2.56
Er: 0.2515 0.7495 0.4609  1 Co 2.56
Er: 0.7515 0.7505 0.9609  1 Co 2.56
Er: 0.9299 0.9999 0.2461  1 Co 2.51
Er: 0.7503 0.7479 0.5392  1 Co 2.56
Er: 0.5701 0.4999 0.2539  1 Co 2.51
Er: 0.0701 0.0001 0.7539  1 Co 2.51
Er: 0.2497 0.2521 0.4608  1 Co 2.56
Er: 0.7497 0.2479 0.9608  1 Co 2.56
Co: 0.5000 0.5000 0.0000  6 Er 2.51-2.56
Co: 0.0000 0.0000 0.5000  6 Er 2.51-2.56
Cd: 0.4984 0.9988 0.7447  5 Er 3.07-3.26
Cd: 0.9984 0.5012 0.2447  5 Er 3.07-3.26
Cd: 0.0016 0.4988 0.7553  5 Er 3.07-3.26
Cd: 0.5016 0.0012 0.2553  5 Er 3.07-3.26


# 10
The following is a PBE calculation of crystalline Er4Cd5Co2 at its relaxed geometry, from Alexandria via LeMat-Bulk.

## Properties
Space-group type: P2/m

abc: 3.5503 7.6032 9.2809
angles: 94.56 90.00 90.00
Closest atoms and distances in Å follow each position.
Atoms (fractional coordinates):
Er: 0.5000 0.1695 0.8368  2 Co 2.66
Er: 0.5000 0.8305 0.1632  2 Co 2.66
Er: 0.5000 0.2087 0.4429  4 Co 2.77-2.80
Er: 0.5000 0.7913 0.5571  4 Co 2.77-2.80
Cd: 0.0000 0.8229 0.8526  1 Co 2.87, 2 Cd 2.90-3.18, 2 Er 3.19
Cd: 0.0000 0.5000 0.0000  4 Cd 2.90-3.07
Cd: 0.0000 0.5488 0.3312  1 Co 2.90, 2 Cd 3.07-3.18, 2 Er 3.21
Cd: 0.0000 0.4512 0.6688  1 Co 2.90, 2 Cd 3.07-3.18, 2 Er 3.21
Cd: 0.0000 0.1771 0.1474  1 Co 2.87, 2 Cd 2.90-3.18, 2 Er 3.19
Co: 0.0000 0.9313 0.3671  1 Co 2.60, 6 Er 2.66-2.80, 2 Cd 2.87-2.90
Co: 0.0000 0.0687 0.6329  1 Co 2.60, 6 Er 2.66-2.80, 2 Cd 2.87-2.90


# 11
The following is a PBE calculation of crystalline Er6Cd2Co at its relaxed geometry, from Alexandria via LeMat-Bulk.

## Properties
Polymorph energy (0 for the lowest one), eV/atom: 0.000
Space-group type: Amm2

abc: 3.6064 8.6981 8.6433
angles: 120.21 90.00 90.00
Closest atoms and distances in Å follow each position.
Atoms (fractional coordinates):
Er: 0.0000 0.2368 0.0000  2 Co 2.69
Er: 0.5000 0.6014 0.0000  4 Cd 3.21, 4 Er 3.49, 1 Co 3.53
Er: 0.5000 0.9981 0.6034  4 Cd 3.20-3.22, 1 Co 3.39, 4 Er 3.49-3.50
Er: 0.0000 0.7673 0.7692  2 Co 2.72
Er: 0.0000 0.9981 0.2308  2 Co 2.72
Er: 0.5000 0.3947 0.3966  4 Cd 3.20-3.22, 1 Co 3.39, 4 Er 3.49-3.50
Co: 0.5000 0.0074 0.0000  6 Er 2.69-2.72
Cd: 0.0000 0.3309 0.6655  9 Er 3.20-3.43
Cd: 0.0000 0.6654 0.3345  9 Er 3.20-3.43


# 12
The following is a PBE calculation of crystalline Er4CdCo at its relaxed geometry, from Alexandria via LeMat-Bulk.

## Properties
Polymorph energy (0 for the lowest one), eV/atom: 0.060
Space-group type: C2/c

abc: 5.9516 9.0252 7.5959
angles: 116.37 99.46 112.50
Closest atoms and distances in Å follow each position.
Atoms (fractional coordinates):
Er: 0.7749 0.7305 0.6703  2 Co 2.67-2.69
Er: 0.6046 0.0602 0.3297  2 Co 2.67-2.69
Er: 0.2446 0.6350 0.8352  2 Co 2.94-3.00, 2 Cd 3.17-3.28
Er: 0.3954 0.9398 0.6703  2 Co 2.67-2.69
Er: 0.2251 0.2695 0.3297  2 Co 2.67-2.69
Er: 0.9094 0.7999 0.1648  2 Co 2.94-3.00, 2 Cd 3.17-3.28
Er: 0.7554 0.3650 0.1648  2 Co 2.94-3.00, 2 Cd 3.17-3.28
Er: 0.0906 0.2001 0.8352  2 Co 2.94-3.00, 2 Cd 3.17-3.28
Cd: 0.3752 0.6252 0.2504  8 Er 3.13-3.34
Cd: 0.6248 0.3748 0.7496  8 Er 3.13-3.34
Co: 0.2491 0.9991 0.9981  6 Er 2.67-2.94, 2 Co 2.98
Co: 0.7509 0.0009 0.0019  6 Er 2.67-2.94, 2 Co 2.98


Number 1: E -5.300 eV per atom, calculated formation energy -0.23 eV/atom. Number 2: E -4.642 eV per atom, calculated formation energy -0.26 eV/atom. Number 3: E -4.408 eV per atom, calculated formation energy -0.21 eV/atom. Number 4: E -4.006 eV per atom, calculated formation energy -0.12 eV/atom. Number 5: E -3.889 eV per atom, calculated formation energy -0.17 eV/atom. Number 6: E -4.246 eV per atom, calculated formation energy 0.04 eV/atom. Number 7: E -4.449 eV per atom, calculated formation energy -0.16 eV/atom. Number 8: E -4.570 eV per atom, calculated formation energy -0.23 eV/atom. Number 9: E -4.185 eV per atom, calculated formation energy -0.15 eV/atom. Number 10: E -3.647 eV per atom, calculated formation energy -0.28 eV/atom. Number 11: E -4.221 eV per atom, calculated formation energy -0.19 eV/atom. Number 12: E -4.582 eV per atom, calculated formation energy -0.20 eV/atom.